Record 1
VASP calculation (PBE) on a relaxed structure of KLiH2.

abc: 4.3875 4.3875 4.3875
angles: 60.00 60.00 60.00
Last column: nearest neighbours and their distance in Å.
Fractional positions:
H 0.2500 0.2500 0.2500  4 K 2.69, 4 Li 2.69
H 0.7500 0.7500 0.7500  4 K 2.69, 4 Li 2.69
K 0.5000 0.5000 0.5000  8 H 2.69
Li 0.0000 0.0000 0.0000  8 H 2.69

Values from the calculation:
DOS at the Fermi energy ... 0.0 states/eV/cell
VASP energy ... -2.392 eV per atom
V ... 59.7 Å³/cell

---

Record 2
VASP calculation (PBE) on a relaxed structure of KNaBi.

abc: 5.7427 5.7427 5.7427
angles: 60.00 60.00 60.00
Last column: nearest neighbours and their distance in Å.
Fractional positions:
Na 0.5000 0.5000 0.5000  4 Bi 3.52
K 0.0000 0.0000 0.0000  4 Bi 3.52
Bi 0.2500 0.2500 0.2500  4 K 3.52, 4 Na 3.52

Values from the calculation:
DOS at the Fermi energy ... 3.1 states/eV/cell
DFT formation energy ... -147 meV per atom
V ... 133.9 Å³/cell

---

Copy entry 1 word for word.
VASP calculation (PBE) on a relaxed structure of KLiH2.

abc: 4.3875 4.3875 4.3875
angles: 60.00 60.00 60.00
Last column: nearest neighbours and their distance in Å.
Fractional positions:
H 0.2500 0.2500 0.2500  4 K 2.69, 4 Li 2.69
H 0.7500 0.7500 0.7500  4 K 2.69, 4 Li 2.69
K 0.5000 0.5000 0.5000  8 H 2.69
Li 0.0000 0.0000 0.0000  8 H 2.69

Values from the calculation:
DOS at the Fermi energy ... 0.0 states/eV/cell
VASP energy ... -2.392 eV per atom
V ... 59.7 Å³/cell

---

Copy entry 2 word for word.
VASP calculation (PBE) on a relaxed structure of KNaBi.

abc: 5.7427 5.7427 5.7427
angles: 60.00 60.00 60.00
Last column: nearest neighbours and their distance in Å.
Fractional positions:
Na 0.5000 0.5000 0.5000  4 Bi 3.52
K 0.0000 0.0000 0.0000  4 Bi 3.52
Bi 0.2500 0.2500 0.2500  4 K 3.52, 4 Na 3.52

Values from the calculation:
DOS at the Fermi energy ... 3.1 states/eV/cell
DFT formation energy ... -147 meV per atom
V ... 133.9 Å³/cell

---

Copy entry 2 word for word.
VASP calculation (PBE) on a relaxed structure of KNaBi.

abc: 5.7427 5.7427 5.7427
angles: 60.00 60.00 60.00
Last column: nearest neighbours and their distance in Å.
Fractional positions:
Na 0.5000 0.5000 0.5000  4 Bi 3.52
K 0.0000 0.0000 0.0000  4 Bi 3.52
Bi 0.2500 0.2500 0.2500  4 K 3.52, 4 Na 3.52

Values from the calculation:
DOS at the Fermi energy ... 3.1 states/eV/cell
DFT formation energy ... -147 meV per atom
V ... 133.9 Å³/cell